Entry 1:
## Ba2CaLa (PBE)

Data for a relaxed structure of Ba2CaLa.

Values from the calculation:
The value obtained for the total moment is 0.01 μB per formula unit. As for the energy above the most stable polymorph in this dataset: 29 meV per atom. Its total energy is -20.509 eV per cell.

a b c (Å): 4.6152 6.4584 13.1641
angles (deg): 90.00 90.00 90.00
With the nearest neighbours (Å) after each atom.
Fractional positions:
Ba (0.0000, 0.0000, 0.0000)  6 Ba 3.97-4.31, 2 Ca 4.05
Ba (0.0000, 0.5000, 0.2769)  6 Ba 3.97-4.31, 2 La 3.98
Ba (0.5000, 0.0000, 0.2769)  6 Ba 3.97-4.31, 2 La 3.98
Ba (0.5000, 0.5000, 0.0000)  6 Ba 3.97-4.31, 2 Ca 4.05
Ca (0.0000, 0.5000, 0.7473)  2 La 3.75, 4 Ca 3.97, 2 Ba 4.05
Ca (0.5000, 0.0000, 0.7473)  2 La 3.75, 4 Ca 3.97, 2 Ba 4.05
La (0.0000, 0.0000, 0.5228)  2 Ca 3.75, 4 La 3.97, 2 Ba 3.98
La (0.5000, 0.5000, 0.5228)  2 Ca 3.75, 4 La 3.97, 2 Ba 3.98


Entry 2:
## BaCaLa2 (PBE)

Data for a relaxed structure of BaCaLa2.

Values from the calculation:
The value obtained for the total moment is 0.00 μB per formula unit. As for the energy above the most stable polymorph in this dataset: 116 meV per atom. Its total energy is -52.258 eV per cell.

a b c (Å): 8.8456 8.8456 8.8456
angles (deg): 90.00 90.00 90.00
With the nearest neighbours (Å) after each atom.
Fractional positions:
Ba (0.0000, 0.0000, 0.0000)  4 La 3.83, 4 Ca 3.83
Ba (0.0000, 0.5000, 0.5000)  4 La 3.83, 4 Ca 3.83
Ba (0.5000, 0.0000, 0.5000)  4 La 3.83, 4 Ca 3.83
Ba (0.5000, 0.5000, 0.0000)  4 La 3.83, 4 Ca 3.83
Ca (0.2500, 0.2500, 0.7500)  4 Ba 3.83, 4 La 3.83
Ca (0.2500, 0.7500, 0.2500)  4 Ba 3.83, 4 La 3.83
Ca (0.7500, 0.2500, 0.2500)  4 Ba 3.83, 4 La 3.83
Ca (0.7500, 0.7500, 0.7500)  4 Ba 3.83, 4 La 3.83
La (0.0000, 0.0000, 0.5000)  4 La 3.83, 4 Ca 3.83
La (0.0000, 0.5000, 0.0000)  4 La 3.83, 4 Ca 3.83
La (0.2500, 0.2500, 0.2500)  4 Ba 3.83, 4 La 3.83
La (0.2500, 0.7500, 0.7500)  4 Ba 3.83, 4 La 3.83
La (0.5000, 0.0000, 0.0000)  4 La 3.83, 4 Ca 3.83
La (0.5000, 0.5000, 0.5000)  4 La 3.83, 4 Ca 3.83
La (0.7500, 0.2500, 0.7500)  4 Ba 3.83, 4 La 3.83
La (0.7500, 0.7500, 0.2500)  4 Ba 3.83, 4 La 3.83


Entry 3:
## Ba2CaLa (PBE)

Data for a relaxed structure of Ba2CaLa.

Values from the calculation:
The value obtained for the total moment is 0.00 μB per formula unit. As for the energy above the most stable polymorph in this dataset: 27 meV per atom. Its total energy is -30.790 eV per cell.

a b c (Å): 4.0666 4.0666 40.7228
angles (deg): 90.00 90.00 120.00
With the nearest neighbours (Å) after each atom.
Fractional positions:
Ba (0.0000, 0.0000, 0.0000)  3 La 4.06, 6 Ba 4.07, 3 Ca 4.19
Ba (0.0000, 0.0000, 0.1704)  6 Ba 4.07, 3 La 4.07, 3 Ca 4.19
Ba (0.3333, 0.6667, 0.6667)  3 La 4.06, 6 Ba 4.07, 3 Ca 4.19
Ba (0.3333, 0.6667, 0.8371)  6 Ba 4.07, 3 La 4.07, 3 Ca 4.19
Ba (0.6667, 0.3333, 0.3333)  3 La 4.06, 6 Ba 4.07, 3 Ca 4.19
Ba (0.6667, 0.3333, 0.5038)  6 Ba 4.07, 3 La 4.07, 3 Ca 4.19
Ca (0.0000, 0.0000, 0.7518)  6 Ca 4.07, 6 Ba 4.19
Ca (0.3333, 0.6667, 0.4185)  6 Ca 4.07, 6 Ba 4.19
Ca (0.6667, 0.3333, 0.0851)  6 Ca 4.07, 6 Ba 4.19
La (0.0000, 0.0000, 0.5854)  6 Ba 4.06-4.07, 6 La 4.07
La (0.3333, 0.6667, 0.2520)  6 Ba 4.06-4.07, 6 La 4.07
La (0.6667, 0.3333, 0.9187)  6 Ba 4.06-4.07, 6 La 4.07


Which energy relative to the elements belongs to each record? In order, 0.130; 0.179; 0.128 eV per atom.